1.
# RbHfBe2 (PBE, relaxed)
# ΔE to the lowest computed polymorph ... 0.1257 eV/atom
# ΔH_f (0 K) ... 1447 meV/atom
# Calculated volume ... 25.9 A^3/atom
# Mass density ... 4.51 g/cm³
# Raw total energy ... -3.15 eV per atom
# M_tot ... 3.63 μB per cell
data_RbHfBe2
_chemical_formula_sum 'Rb4 Hf4 Be8'
_symmetry_space_group_name_H-M 'I -4 2 d'
_symmetry_Int_Tables_number 122
_symmetry_space_group_name_Hall 'I -4 2bw'
_cell_length_a 7.674
_cell_length_b 7.674
_cell_length_c 7.046
_cell_angle_alpha 90.00
_cell_angle_beta 90.00
_cell_angle_gamma 90.00
loop_
_atom_site_label
_atom_site_fract_x
_atom_site_fract_y
_atom_site_fract_z
Rb1 0.000 0.000 0.000
Hf1 0.000 0.000 0.500
Be1 0.187 0.250 0.625

2.
# RbHf3Be (PBE, relaxed)
# ΔE to the lowest computed polymorph ... 1.6334 eV/atom
# ΔH_f (0 K) ... 2665 meV/atom
# Calculated volume ... 24.5 A^3/atom
# Mass density ... 8.53 g/cm³
# Raw total energy ... -4.25 eV per atom
# M_tot ... 0.00 μB per cell
data_RbHf3Be
_chemical_formula_sum 'Rb1 Hf3 Be1'
_symmetry_space_group_name_H-M 'P m -3 m'
_symmetry_Int_Tables_number 221
_symmetry_space_group_name_Hall '-P 4 2 3'
_cell_length_a 4.969
_cell_length_b 4.969
_cell_length_c 4.969
_cell_angle_alpha 90.00
_cell_angle_beta 90.00
_cell_angle_gamma 90.00
loop_
_atom_site_label
_atom_site_fract_x
_atom_site_fract_y
_atom_site_fract_z
Rb1 0.000 0.000 0.000
Hf1 0.000 0.000 0.500
Be1 0.500 0.500 0.500

3.
# RbHfBe (PBE, relaxed)
# ΔE to the lowest computed polymorph ... 0.1542 eV/atom
# ΔH_f (0 K) ... 511 meV/atom
# Calculated volume ... 27.5 A^3/atom
# Mass density ... 5.49 g/cm³
# Raw total energy ... -4.37 eV per atom
# M_tot ... 0.00 μB per cell
data_RbHfBe
_chemical_formula_sum 'Rb2 Hf2 Be2'
_symmetry_space_group_name_H-M 'P 1'
_symmetry_Int_Tables_number 1
_cell_length_a 3.353
_cell_length_b 3.356
_cell_length_c 14.674
_cell_angle_alpha 89.47
_cell_angle_beta 88.22
_cell_angle_gamma 90.00
loop_
_symmetry_equiv_pos_as_xyz
'x,y,z'
loop_
_atom_site_label
_atom_site_fract_x
_atom_site_fract_y
_atom_site_fract_z
Rb1 0.000 0.000 0.000
Rb2 0.403 0.473 0.675
Hf1 0.935 0.981 0.453
Hf2 0.964 0.989 0.252
Be1 0.450 0.485 0.352
Be2 0.474 0.492 0.176

4.
# RbHfBe2Ru (PBE, relaxed)
# ΔH_f (0 K) ... 2346 meV/atom
# Calculated volume ... 19.4 A^3/atom
# Mass density ... 6.57 g/cm³
# Raw total energy ... -3.18 eV per atom
# M_tot ... 0.00 μB per cell
data_RbHfBe2Ru
_chemical_formula_sum 'Rb1 Hf1 Be2 Ru1'
_symmetry_space_group_name_H-M 'P 4/m m m'
_symmetry_Int_Tables_number 123
_symmetry_space_group_name_Hall '-P 4 2'
_cell_length_a 4.507
_cell_length_b 4.507
_cell_length_c 4.763
_cell_angle_alpha 90.00
_cell_angle_beta 90.00
_cell_angle_gamma 90.00
loop_
_atom_site_label
_atom_site_fract_x
_atom_site_fract_y
_atom_site_fract_z
Rb1 0.000 0.000 0.000
Hf1 0.500 0.500 0.500
Be1 0.000 0.500 0.000
Ru1 0.000 0.000 0.500

5.
# Rb2HfBeSe4 (PBE, relaxed)
# Calculated volume ... 33.6 A^3/atom
# Mass density ... 4.16 g/cm³
# Raw total energy ... -4.88 eV per atom
# Raw formation energy ... -1.188 eV per atom
# M_tot ... 0.00 μB per cell
data_Rb2HfBeSe4
_chemical_formula_sum 'Rb16 Hf8 Be8 Se32'
_symmetry_space_group_name_H-M 'F d d d'
_symmetry_Int_Tables_number 70
_cell_length_a 5.854
_cell_length_b 14.426
_cell_length_c 25.486
_cell_angle_alpha 90.00
_cell_angle_beta 90.00
_cell_angle_gamma 90.00
loop_
_symmetry_equiv_pos_as_xyz
'x,y,z'
'-x,-y,-z'
'-x+1/4,-y+1/4,z'
'x+1/4,y+1/4,-z'
'x,-y+1/4,-z+1/4'
'-x,y+1/4,z+1/4'
'-x+1/4,y,-z+1/4'
'x+1/4,-y,z+1/4'
'x,y+1/2,z+1/2'
'-x,-y+1/2,-z+1/2'
'-x+1/4,-y+3/4,z+1/2'
'x+1/4,y+3/4,-z+1/2'
'x,-y+3/4,-z+3/4'
'-x,y+3/4,z+3/4'
'-x+1/4,y+1/2,-z+3/4'
'x+1/4,-y+1/2,z+3/4'
'x+1/2,y,z+1/2'
'-x+1/2,-y,-z+1/2'
'-x+3/4,-y+1/4,z+1/2'
'x+3/4,y+1/4,-z+1/2'
'x+1/2,-y+1/4,-z+3/4'
'-x+1/2,y+1/4,z+3/4'
'-x+3/4,y,-z+3/4'
'x+3/4,-y,z+3/4'
'x+1/2,y+1/2,z'
'-x+1/2,-y+1/2,-z'
'-x+3/4,-y+3/4,z'
'x+3/4,y+3/4,-z'
'x+1/2,-y+3/4,-z+1/4'
'-x+1/2,y+3/4,z+1/4'
'-x+3/4,y+1/2,-z+1/4'
'x+3/4,-y+1/2,z+1/4'
loop_
_atom_site_label
_atom_site_fract_x
_atom_site_fract_y
_atom_site_fract_z
Rb1 0.125 0.125 0.303
Hf1 0.125 0.125 0.125
Be1 0.125 0.125 0.625
Se1 0.099 0.281 0.823

6.
# RbHf2BeTl (PBE, relaxed)
# ΔH_f (0 K) ... 939 meV/atom
# Calculated volume ... 24.9 A^3/atom
# Mass density ... 8.75 g/cm³
# Raw total energy ... -4.45 eV per atom
# M_tot ... 0.00 μB per cell
data_RbHf2BeTl
_chemical_formula_sum 'Rb1 Hf2 Be1 Tl1'
_symmetry_space_group_name_H-M 'P 4/m m m'
_symmetry_Int_Tables_number 123
_symmetry_space_group_name_Hall '-P 4 2'
_cell_length_a 5.008
_cell_length_b 5.008
_cell_length_c 4.964
_cell_angle_alpha 90.00
_cell_angle_beta 90.00
_cell_angle_gamma 90.00
loop_
_atom_site_label
_atom_site_fract_x
_atom_site_fract_y
_atom_site_fract_z
Rb1 0.000 0.000 0.000
Hf1 0.000 0.500 0.500
Be1 0.500 0.500 0.500
Tl1 0.500 0.500 0.000